! Ba5Hg3Br12 | Alexandria via LeMat-Bulk | PBE-GGA | optimized geometry; values from VASP
! theoretical density: 4.01 g/cm³
! VASP energy: -2.996 eV per atom
! raw formation energy: -1.466 eV per atom
! M_tot: 0.01 Bohr magnetons per cell
! symmetry: Ia-3d, No. 230
&SYSTEM
  ibrav = 0, nat = 80, ntyp = 3
/
ATOMIC_SPECIES
Ba 137.33 Ba.upf
Hg 200.59 Hg.upf
Br 79.90 Br.upf
ATOMIC_POSITIONS angstrom
Ba 0.000 0.000 0.000
Ba 4.880 4.880 -4.880
Ba 4.880 -4.880 4.880
Ba 9.759 0.000 0.000
Ba 14.639 2.440 0.000
Ba 9.759 -4.880 7.319
Ba 7.319 9.759 -4.880
Ba 7.319 0.000 4.880
Ba 4.880 7.319 0.000
Ba 9.759 4.880 2.440
Ba -4.880 4.880 4.880
Ba 0.000 9.759 0.000
Ba 0.000 0.000 9.759
Ba 4.880 4.880 4.880
Ba 0.000 4.880 7.319
Ba 4.880 2.440 9.759
Ba 2.440 9.759 4.880
Ba 2.440 0.000 14.639
Ba 0.000 14.639 2.440
Ba -4.880 7.319 9.759
Hg 4.880 2.440 0.000
Hg 9.759 4.880 -2.440
Hg 2.440 0.000 4.880
Hg 12.199 0.000 4.880
Hg 0.000 4.880 2.440
Hg 4.880 -2.440 9.759
Hg 4.880 12.199 0.000
Hg 9.759 4.880 7.319
Hg -2.440 9.759 4.880
Hg 7.319 9.759 4.880
Hg 0.000 4.880 12.199
Hg 4.880 7.319 9.759
Br 2.857 -0.573 1.424
Br 11.782 6.303 -5.452
Br 9.186 -1.424 2.857
Br 15.211 -2.023 3.456
Br 12.616 0.573 1.424
Br 11.782 -3.456 5.452
Br 1.424 2.857 -0.573
Br 13.215 4.307 -2.023
Br 6.303 5.452 -2.023
Br 8.336 2.857 0.573
Br -0.573 1.424 2.857
Br 5.452 -2.023 6.303
Br 9.186 8.336 -2.857
Br 5.452 2.023 3.456
Br 8.336 -2.857 9.186
Br 6.303 -5.452 11.782
Br 3.456 5.452 2.023
Br 11.183 6.902 0.573
Br 2.857 9.186 -1.424
Br 11.782 3.456 4.307
Br 5.452 11.782 -3.456
Br 9.186 1.424 6.902
Br 2.023 3.456 5.452
Br 2.857 0.573 8.336
Br 6.902 9.186 1.424
Br 7.736 6.303 4.307
Br 0.573 8.336 2.857
Br 4.307 -2.023 13.215
Br -2.023 6.303 5.452
Br 6.902 0.573 11.183
Br -1.424 2.857 9.186
Br 6.303 4.307 7.736
Br 3.456 15.211 -2.023
Br 1.424 12.616 0.573
Br 4.307 7.736 6.303
Br 0.573 1.424 12.616
Br 4.307 11.782 3.456
Br 10.332 8.336 6.902
Br 1.424 6.902 9.186
Br 3.456 4.307 11.782
Br -3.456 5.452 11.782
Br 8.336 6.902 10.332
Br -2.023 13.215 4.307
Br -2.857 9.186 8.336
Br -5.452 11.782 6.303
Br 0.573 11.183 6.902
Br -2.023 3.456 15.211
Br 6.902 10.332 8.336
CELL_PARAMETERS angstrom
-9.759 9.759 9.759
9.759 -9.759 9.759
9.759 9.759 -9.759